No. 1
Entry from the Alexandria database: KAl3Ge3 after structural relaxation (PBE).

Calculated values
The calculation puts the energy relative to the lowest polymorph listed for this composition at 29 meV per atom. Its density of states at the Fermi level is 11.30 states/eV/cell. The value obtained for the calculated total energy is -3.729 eV per atom. As for the formation energy: 7.2 kJ/mol of formula units.

a = 7.176 Å, b = 7.176 Å, c = 7.176 Å
α = 90.00°, β = 90.00°, γ = 90.00°
Positions (direct):
K (0.000, 0.000, 0.000)
K (0.500, 0.500, 0.500)
Al (0.000, 0.250, 0.500)
Al (0.000, 0.750, 0.500)
Al (0.250, 0.500, 0.000)
Al (0.500, 0.000, 0.250)
Al (0.500, 0.000, 0.750)
Al (0.750, 0.500, 0.000)
Ge (0.000, 0.500, 0.250)
Ge (0.000, 0.500, 0.750)
Ge (0.250, 0.000, 0.500)
Ge (0.500, 0.250, 0.000)
Ge (0.500, 0.750, 0.000)
Ge (0.750, 0.000, 0.500)

=====

No. 2
Entry from the Alexandria database: InNiRu4 after structural relaxation (PBE).

Calculated values
Its density of states at the Fermi level is 11.52 states/eV/cell. The value obtained for the calculated total energy is -7.044 eV per atom. As for the formation energy: 323.9 kJ/mol of formula units.

a = 5.122 Å, b = 5.122 Å, c = 5.122 Å
α = 60.00°, β = 60.00°, γ = 60.00°
Positions (direct):
In (0.000, 0.000, 0.000)
Ni (0.750, 0.750, 0.750)
Ru (0.376, 0.376, 0.376)
Ru (0.376, 0.376, 0.873)
Ru (0.376, 0.873, 0.376)
Ru (0.873, 0.376, 0.376)

=====

No. 3
Entry from the Alexandria database: Na2NpUSe5 after structural relaxation (PBE).

Calculated values
Its density of states at the Fermi level is 14.94 states/eV/cell. The value obtained for the calculated total energy is -5.721 eV per atom. The uncorrected formation energy is -695.0 kJ/mol of formula units.

a = 5.205 Å, b = 5.205 Å, c = 10.973 Å
α = 90.00°, β = 90.00°, γ = 90.00°
Positions (direct):
Na (0.000, 0.000, 0.230)
Na (0.000, 0.000, 0.770)
Np (0.500, 0.500, 0.500)
U (0.500, 0.500, 0.000)
Se (0.000, 0.000, 0.500)
Se (0.000, 0.500, 0.000)
Se (0.500, 0.000, 0.000)
Se (0.500, 0.500, 0.251)
Se (0.500, 0.500, 0.749)

=====

No. 4
Entry from the Alexandria database: K2HgSe2O6 after structural relaxation (PBE).

Calculated values
Its density of states at the Fermi level is 0.00 states/eV/cell. The value obtained for the calculated total energy is -4.631 eV per atom. The uncorrected formation energy is -1130.9 kJ/mol of formula units.

a = 5.528 Å, b = 5.528 Å, c = 8.277 Å
α = 107.38°, β = 107.38°, γ = 74.62°
Positions (direct):
K (0.215, 0.215, 0.204)
K (0.785, 0.785, 0.796)
Hg (0.000, 0.000, 0.500)
Se (0.388, 0.388, 0.773)
Se (0.612, 0.612, 0.227)
O (0.247, 0.247, 0.547)
O (0.291, 0.696, 0.222)
O (0.304, 0.709, 0.778)
O (0.696, 0.291, 0.222)
O (0.709, 0.304, 0.778)
O (0.753, 0.753, 0.453)

=====

No. 5
Entry from the Alexandria database: AcCuGe2S6 after structural relaxation (PBE).

Calculated values
The value obtained for the calculated total energy is -4.939 eV per atom. The uncorrected formation energy is -693.0 kJ/mol of formula units.

a = 8.781 Å, b = 8.781 Å, c = 7.155 Å
α = 108.58°, β = 108.58°, γ = 80.57°
Positions (direct):
Ac (0.165, 0.835, 0.750)
Ac (0.835, 0.165, 0.250)
Cu (0.206, 0.794, 0.250)
Cu (0.794, 0.206, 0.750)
Ge (0.226, 0.366, 0.812)
Ge (0.366, 0.226, 0.312)
Ge (0.634, 0.774, 0.688)
Ge (0.774, 0.634, 0.188)
S (0.049, 0.174, 0.671)
S (0.119, 0.606, 0.945)
S (0.174, 0.049, 0.171)
S (0.279, 0.435, 0.553)
S (0.394, 0.881, 0.555)
S (0.435, 0.279, 0.053)
S (0.565, 0.721, 0.947)
S (0.606, 0.119, 0.445)
S (0.721, 0.565, 0.447)
S (0.826, 0.951, 0.829)
S (0.881, 0.394, 0.055)
S (0.951, 0.826, 0.329)

=====

No. 6
Entry from the Alexandria database: RbCe4Cu3O12 after structural relaxation (PBE).

Calculated values
Its density of states at the Fermi level is 9.82 states/eV/cell. The value obtained for the calculated total energy is -7.052 eV per atom. The uncorrected formation energy is -4298.4 kJ/mol of formula units.

a = 7.136 Å, b = 7.136 Å, c = 7.136 Å
α = 109.47°, β = 109.47°, γ = 109.47°
Positions (direct):
Rb (0.000, 0.000, 0.000)
Ce (0.000, 0.000, 0.500)
Ce (0.000, 0.500, 0.000)
Ce (0.500, 0.000, 0.000)
Ce (0.500, 0.500, 0.500)
Cu (0.000, 0.500, 0.500)
Cu (0.500, 0.000, 0.500)
Cu (0.500, 0.500, 0.000)
O (0.161, 0.488, 0.327)
O (0.161, 0.834, 0.673)
O (0.166, 0.327, 0.839)
O (0.327, 0.161, 0.488)
O (0.327, 0.839, 0.166)
O (0.488, 0.327, 0.161)
O (0.512, 0.673, 0.839)
O (0.673, 0.161, 0.834)
O (0.673, 0.839, 0.512)
O (0.834, 0.673, 0.161)
O (0.839, 0.166, 0.327)
O (0.839, 0.512, 0.673)

=====

No. 7
Entry from the Alexandria database: Pm2ZrUAs4 after structural relaxation (PBE).

Calculated values
Its density of states at the Fermi level is 7.81 states/eV/cell. The value obtained for the calculated total energy is -7.210 eV per atom. As for the formation energy: -940.0 kJ/mol of formula units.

a = 7.073 Å, b = 4.082 Å, c = 7.136 Å
α = 90.00°, β = 109.02°, γ = 90.00°
Positions (direct):
Pm (0.000, 0.000, 0.000)
Pm (0.500, 0.500, 0.000)
Zr (0.000, 0.500, 0.500)
U (0.500, 0.000, 0.500)
As (0.239, 0.000, 0.730)
As (0.249, 0.500, 0.265)
As (0.751, 0.500, 0.735)
As (0.761, 0.000, 0.270)

=====

No. 8
Entry from the Alexandria database: CaErZnAg after structural relaxation (PBE).

Calculated values
The calculation puts the energy relative to the lowest polymorph listed for this composition at 32 meV per atom. Its density of states at the Fermi level is 2.61 states/eV/cell. The value obtained for the calculated total energy is -2.950 eV per atom. As for the formation energy: -107.2 kJ/mol of formula units.

a = 5.115 Å, b = 5.115 Å, c = 5.115 Å
α = 60.00°, β = 60.00°, γ = 60.00°
Positions (direct):
Ca (0.000, 0.000, 0.000)
Er (0.500, 0.500, 0.500)
Zn (0.250, 0.250, 0.250)
Ag (0.750, 0.750, 0.750)

=====

No. 9
Entry from the Alexandria database: RbHf3Tc after structural relaxation (PBE).

Calculated values
The calculation puts the energy relative to the lowest polymorph listed for this composition at 1914 meV per atom. Its density of states at the Fermi level is 6.42 states/eV/cell. The value obtained for the calculated total energy is -5.614 eV per atom. As for the formation energy: 1266.4 kJ/mol of formula units.

a = 4.872 Å, b = 4.872 Å, c = 4.872 Å
α = 90.00°, β = 90.00°, γ = 90.00°
Positions (direct):
Rb (0.000, 0.000, 0.000)
Hf (0.000, 0.000, 0.500)
Hf (0.000, 0.500, 0.000)
Hf (0.500, 0.000, 0.000)
Tc (0.500, 0.500, 0.500)

=====

No. 10
Entry from the Alexandria database: CeSmIr4 after structural relaxation (PBE).

Calculated values
Its density of states at the Fermi level is 6.16 states/eV/cell. The value obtained for the calculated total energy is -8.437 eV per atom. As for the formation energy: -436.3 kJ/mol of formula units.

a = 5.404 Å, b = 5.404 Å, c = 5.404 Å
α = 60.00°, β = 60.00°, γ = 60.00°
Positions (direct):
Ce (0.000, 0.000, 0.000)
Sm (0.250, 0.250, 0.250)
Ir (0.125, 0.625, 0.625)
Ir (0.625, 0.125, 0.625)
Ir (0.625, 0.625, 0.125)
Ir (0.625, 0.625, 0.625)

=====

No. 11
Entry from the Alexandria database: BaSb2Pb after structural relaxation (PBE).

Calculated values
Its density of states at the Fermi level is 3.20 states/eV/cell. The value obtained for the calculated total energy is -3.905 eV per atom. The uncorrected formation energy is -168.3 kJ/mol of formula units.

a = 4.856 Å, b = 4.856 Å, c = 12.427 Å
α = 90.00°, β = 90.00°, γ = 90.00°
Positions (direct):
Ba (0.250, 0.250, 0.211)
Ba (0.750, 0.750, 0.789)
Sb (0.250, 0.250, 0.675)
Sb (0.250, 0.750, 0.000)
Sb (0.750, 0.250, 0.000)
Sb (0.750, 0.750, 0.325)
Pb (0.250, 0.750, 0.500)
Pb (0.750, 0.250, 0.500)

=====

No. 12
Entry from the Alexandria database: ZnCo2Au after structural relaxation (PBE).

Calculated values
Its density of states at the Fermi level is 5.60 states/eV/cell. The value obtained for the calculated total energy is -4.583 eV per atom. As for the formation energy: 41.5 kJ/mol of formula units.

a = 3.716 Å, b = 3.716 Å, c = 3.897 Å
α = 90.00°, β = 90.00°, γ = 90.00°
Positions (direct):
Zn (0.000, 0.000, 0.000)
Co (0.000, 0.500, 0.500)
Co (0.500, 0.000, 0.500)
Au (0.500, 0.500, 0.000)